The following is a DFT calculation (PBE-GGA) of LuGaPb after structural relaxation.

Cell lengths 3.3585, 3.3585, 15.2342 Å; angles 90.00, 90.00, 90.00 degrees
Space group I4mm (No. 107)
Symmetry-distinct sites (fractional):
Lu  0.0000  0.0000  0.0000 x2
Ga  0.0000  0.0000  0.3837 x2
Pb  0.0000  0.0000  0.2015 x2

Output
Excess energy over the best structure of this formula in the dataset in meV per atom: 254

The following is a DFT calculation (PBE-GGA) of Al2PBr after structural relaxation.

Cell lengths 3.3106, 3.3106, 6.9886 Å; angles 90.00, 90.00, 90.00 degrees
Space group P4/mmm (No. 123)
Symmetry-distinct sites (fractional):
Al  0.0000  0.0000  0.1927 x2
P  0.5000  0.5000  0.0000 x1
Br  0.5000  0.5000  0.5000 x1

Output
E_form (uncorrected) in kJ per mole of atoms: 6.6
Excess energy over the best structure of this formula in the dataset in meV per atom: 331

The following is a DFT calculation (PBE-GGA) of MnBiAu2 after structural relaxation.

Cell lengths 7.8476, 7.8476, 5.6265 Å; angles 90.00, 90.00, 90.00 degrees
Space group I-42d (No. 122)
Symmetry-distinct sites (fractional):
Mn  0.0000  0.0000  0.0000 x4
Bi  0.0000  0.0000  0.5000 x4
Au  0.2204  0.2500  0.1250 x8

Output
Raw total energy in eV per formula unit: -18.907